[1]
Compound: CaSi2SnO6
Source: Alexandria via LeMat-Bulk
Functional: PBEsol
Structure: optimized geometry

For the raw total energy, the calculation gives -299.0 eV/cell.

Unit cell a=10.782 b=9.578 c=5.444 alpha=90.00 beta=105.97 gamma=90.00
Space group C2/c (No. 15)
Unique sites:
Ca1 0.000 0.166 0.250 (multiplicity 4)
Si1 0.227 0.100 0.746 (multiplicity 8)
Sn1 0.000 0.375 0.750 (multiplicity 4)
O1 0.106 0.205 0.659 (multiplicity 8)
O2 0.134 0.328 0.162 (multiplicity 8)
O3 0.200 0.005 0.472 (multiplicity 8)

***

[2]
Compound: Y2TaAl
Source: Alexandria via LeMat-Bulk
Functional: PBEsol
Structure: optimized geometry

The energy relative to the elements comes out at 1.3 kcal/mol of atoms.

Unit cell a=3.111 b=3.111 c=9.282 alpha=90.00 beta=90.00 gamma=90.00
Space group P4/mmm (No. 123)
Unique sites:
Y1 0.000 0.000 0.249 (multiplicity 2)
Ta1 0.500 0.500 0.500 (multiplicity 1)
Al1 0.500 0.500 0.000 (multiplicity 1)

***

Number 1: magnetic moment 0.0 μB per cell. Number 2: magnetic moment 0.0 μB per cell.